Entry 1:
{"formula": "Ta3TlB2", "functional": "PBE", "state": "relaxed", "spacegroup": "P6_3/mmc (194)", "crystal_system": "hexagonal", "final_energy_ev_per_atom": -8.9389, "cell": [[3.3055, 0.0000, 0.0000], [-1.6527, 2.8626, 0.0000], [0.0000, 0.0000, 19.4845]], "species": ["B", "B", "B", "B", "Ta", "Ta", "Ta", "Ta", "Ta", "Ta", "Tl", "Tl"], "fractional_positions": [[0.6667, 0.3333, 0.5683], [0.3333, 0.6667, 0.0683], [0.3333, 0.6667, 0.4317], [0.6667, 0.3333, 0.9317], [0.6667, 0.3333, 0.1258], [0.3333, 0.6667, 0.6258], [0.0000, 0.0000, 0.5000], [0.3333, 0.6667, 0.8742], [0.0000, 0.0000, 0.0000], [0.6667, 0.3333, 0.3742], [0.0000, 0.0000, 0.2500], [0.0000, 0.0000, 0.7500]]}



Entry 2:
{"formula": "HfC2N4", "functional": "PBE", "state": "relaxed", "spacegroup": "Pbcn (60)", "crystal_system": "orthorhombic", "final_energy_ev_per_atom": -9.3637, "cell": [[9.5606, 0.0000, 0.0000], [0.0000, 7.7208, 0.0000], [0.0000, 0.0000, 5.7767]], "species": ["N", "N", "N", "N", "N", "N", "N", "N", "N", "N", "N", "N", "N", "N", "N", "N", "Hf", "Hf", "Hf", "Hf", "C", "C", "C", "C", "C", "C", "C", "C"], "fractional_positions": [[0.8807, 0.4266, 0.5604], [0.1491, 0.1896, 0.3454], [0.3807, 0.0734, 0.4396], [0.1491, 0.8104, 0.8454], [0.3509, 0.3104, 0.8454], [0.1193, 0.4266, 0.9396], [0.6491, 0.6896, 0.1546], [0.1193, 0.5734, 0.4396], [0.6193, 0.0734, 0.0604], [0.6491, 0.3104, 0.6546], [0.6193, 0.9266, 0.5604], [0.3509, 0.6896, 0.3454], [0.3807, 0.9266, 0.9396], [0.8509, 0.1896, 0.1546], [0.8807, 0.5734, 0.0604], [0.8509, 0.8104, 0.6546], [0.5000, 0.8732, 0.2500], [0.5000, 0.1268, 0.7500], [0.0000, 0.3732, 0.2500], [0.0000, 0.6268, 0.7500], [0.7629, 0.6328, 0.1090], [0.7371, 0.8672, 0.6090], [0.2371, 0.6328, 0.3910], [0.2371, 0.3672, 0.8910], [0.7371, 0.1328, 0.1090], [0.2629, 0.8672, 0.8910], [0.2629, 0.1328, 0.3910], [0.7629, 0.3672, 0.6090]]}



Entry 3:
{"formula": "RbCuNiMo", "functional": "PBE", "state": "relaxed", "spacegroup": "F-43m (216)", "crystal_system": "cubic", "polymorph_energy_kj_per_mol_atoms": 17.6, "cell": [[0.0000, 3.3446, 3.3446], [3.3446, 0.0000, 3.3446], [3.3446, 3.3446, 0.0000]], "species": ["Rb", "Mo", "Ni", "Cu"], "fractional_positions": [[0.2500, 0.2500, 0.2500], [0.0000, 0.0000, 0.0000], [0.5000, 0.5000, 0.5000], [0.7500, 0.7500, 0.7500]]}



Entry 4:
{"formula": "HfAg", "functional": "PBE", "state": "relaxed", "spacegroup": "P-6m2 (187)", "crystal_system": "hexagonal", "formation_energy_mev_per_atom": 142, "cell": [[3.0102, 0.0000, 0.0000], [-1.5051, 2.6069, 0.0000], [0.0000, 0.0000, 5.0031]], "species": ["Ag", "Hf"], "fractional_positions": [[0.6667, 0.3333, 0.7500], [0.3333, 0.6667, 0.2500]]}



Entry 5:
{"formula": "DyCdIn2", "functional": "PBE", "state": "relaxed", "spacegroup": "P4/mmm (123)", "crystal_system": "tetragonal", "final_energy_ev_per_atom": -3.1406, "cell": [[-2.4192, 2.3598, 3.1536], [-3.7844, -0.3667, -2.6287], [-1.0701, -3.8787, 2.0815]], "species": ["Dy", "Cd", "In", "In"], "fractional_positions": [[0.5000, 0.5000, 0.5000], [0.0000, 0.0000, 0.5000], [0.5000, 0.0000, 0.0000], [0.0000, 0.5000, 0.0000]]}



Entry 6:
{"formula": "LaCdBi", "functional": "PBE", "state": "relaxed", "spacegroup": "F-43m (216)", "crystal_system": "cubic", "polymorph_energy_kj_per_mol_atoms": 11.7, "cell": [[0.0000, 3.7396, 3.7396], [3.7396, 0.0000, 3.7396], [3.7396, 3.7396, 0.0000]], "species": ["Bi", "Cd", "La"], "fractional_positions": [[0.0000, 0.0000, 0.0000], [0.2500, 0.2500, 0.2500], [0.7500, 0.7500, 0.7500]]}



Entry 7:
{"formula": "Li4TcIrO6", "functional": "PBE", "state": "relaxed", "spacegroup": "C2 (5)", "crystal_system": "monoclinic", "final_energy_ev_per_atom": -6.2874, "cell": [[2.1528, -2.5333, -3.6978], [-1.3705, -2.5547, 4.0400], [-4.6273, 0.8934, -2.1045]], "species": ["Tc", "O", "O", "O", "O", "O", "O", "Li", "Li", "Li", "Li", "Ir"], "fractional_positions": [[0.1511, 0.8489, 0.0000], [0.7478, 0.7422, 0.7351], [0.0872, 0.4345, 0.7713], [0.9193, 0.5726, 0.2281], [0.4274, 0.0807, 0.7719], [0.2578, 0.2522, 0.2649], [0.5655, 0.9128, 0.2287], [0.4984, 0.5016, 0.0000], [0.6672, 0.3328, 0.5000], [0.9942, 0.0058, 0.5000], [0.3381, 0.6619, 0.5000], [0.8461, 0.1539, 0.0000]]}



Entry 8:
{"formula": "NaNdTc", "functional": "PBE", "state": "relaxed", "spacegroup": "F-43m (216)", "crystal_system": "cubic", "polymorph_energy_kj_per_mol_atoms": 0.0, "cell": [[0.0000, 3.3681, 3.3681], [3.3681, 0.0000, 3.3681], [3.3681, 3.3681, 0.0000]], "species": ["Tc", "Na", "Nd"], "fractional_positions": [[0.7500, 0.7500, 0.7500], [0.0000, 0.0000, 0.0000], [0.2500, 0.2500, 0.2500]]}



> Number 5 is which compound?

DyCdIn2



Please write out number 2 again, unchanged.
{"formula": "HfC2N4", "functional": "PBE", "state": "relaxed", "spacegroup": "Pbcn (60)", "crystal_system": "orthorhombic", "final_energy_ev_per_atom": -9.3637, "cell": [[9.5606, 0.0000, 0.0000], [0.0000, 7.7208, 0.0000], [0.0000, 0.0000, 5.7767]], "species": ["N", "N", "N", "N", "N", "N", "N", "N", "N", "N", "N", "N", "N", "N", "N", "N", "Hf", "Hf", "Hf", "Hf", "C", "C", "C", "C", "C", "C", "C", "C"], "fractional_positions": [[0.8807, 0.4266, 0.5604], [0.1491, 0.1896, 0.3454], [0.3807, 0.0734, 0.4396], [0.1491, 0.8104, 0.8454], [0.3509, 0.3104, 0.8454], [0.1193, 0.4266, 0.9396], [0.6491, 0.6896, 0.1546], [0.1193, 0.5734, 0.4396], [0.6193, 0.0734, 0.0604], [0.6491, 0.3104, 0.6546], [0.6193, 0.9266, 0.5604], [0.3509, 0.6896, 0.3454], [0.3807, 0.9266, 0.9396], [0.8509, 0.1896, 0.1546], [0.8807, 0.5734, 0.0604], [0.8509, 0.8104, 0.6546], [0.5000, 0.8732, 0.2500], [0.5000, 0.1268, 0.7500], [0.0000, 0.3732, 0.2500], [0.0000, 0.6268, 0.7500], [0.7629, 0.6328, 0.1090], [0.7371, 0.8672, 0.6090], [0.2371, 0.6328, 0.3910], [0.2371, 0.3672, 0.8910], [0.7371, 0.1328, 0.1090], [0.2629, 0.8672, 0.8910], [0.2629, 0.1328, 0.3910], [0.7629, 0.3672, 0.6090]]}